## BaSc2Mn (GGA-PBE)

Data for crystalline BaSc2Mn at its relaxed geometry.

## Properties
ΔE_f, eV/f.u.: 1.82
Final energy, eV/cell: -21.94
ΔE to the lowest computed polymorph, meV per atom: 217

Unit cell a=10.056 b=10.056 c=10.056 alpha=20.05 beta=20.05 gamma=20.05
Fractional coordinates of all 4 atoms:
1 Ba 0.250 0.250 0.250
2 Mn 0.750 0.750 0.750
3 Sc 0.028 0.028 0.028
4 Sc 0.472 0.472 0.472